The following is a GGA-PBEsol calculation of a relaxed Mn2SbMo crystal, from the Alexandria database.

Computed properties:
formation energy without anion corrections = 0.2903 eV per atom
D(E_F) = 3.6 states/eV/f.u.
total magnetization = 4.6 μB per formula unit

Cell lengths 3.242, 3.242, 5.628 Å; angles 90.00, 90.00, 90.00 degrees
Each line ends with the local moment (μB).
Fractional coordinates of all 4 atoms:
Mn: 0.000 0.000 0.022  2.62
Mn: 0.500 0.500 0.243  2.09
Mo: 0.000 0.000 0.470  -0.22
Sb: 0.500 0.500 0.765  -0.02


The following is a GGA-PBEsol calculation of a relaxed Mn2SbMo crystal, from the Alexandria database.

Computed properties:
formation energy without anion corrections = 0.2565 eV per atom
D(E_F) = 3.8 states/eV/f.u.
total magnetization = 3.1 μB per formula unit

Cell lengths 3.899, 3.896, 4.650 Å; angles 114.77, 114.79, 90.00 degrees
Each line ends with the local moment (μB).
Fractional coordinates of all 4 atoms:
Mn: 0.750 0.750 0.500  1.79
Mn: 0.250 0.250 0.500  1.79
Mo: 0.500 0.000 0.000  -0.51
Sb: 0.000 0.500 0.000  -0.05


The following is a GGA-PBEsol calculation of a relaxed Mn2SbMo crystal, from the Alexandria database.

Computed properties:
formation energy without anion corrections = 0.5457 eV per atom
D(E_F) = 4.4 states/eV/f.u.
total magnetization = 0.7 μB per formula unit

Cell lengths 2.943, 2.943, 8.324 Å; angles 79.82, 79.82, 60.00 degrees
Each line ends with the local moment (μB).
Fractional coordinates of all 4 atoms:
Mn: 0.009 0.009 0.973  2.44
Mn: 0.746 0.746 0.761  -1.98
Mo: 0.492 0.492 0.524  0.27
Sb: 0.253 0.253 0.241  -0.02


The following is a GGA-PBEsol calculation of a relaxed Mn2SbMo crystal, from the Alexandria database.

Computed properties:
formation energy without anion corrections = 0.2224 eV per atom
D(E_F) = 3.0 states/eV/f.u.
total magnetization = 3.4 μB per formula unit

Cell lengths 3.800, 3.800, 4.782 Å; angles 113.41, 113.41, 90.00 degrees
Each line ends with the local moment (μB).
Fractional coordinates of all 4 atoms:
Mn: 0.000 0.000 0.000  2.18
Mn: 0.750 0.250 0.500  1.47
Mo: 0.500 0.500 0.000  -0.28
Sb: 0.250 0.750 0.500  -0.04